Material: Be3Mo
Method: DFT, PBE-GGA
State: relaxed

The distance to the lowest polymorph of the same formula comes out at 54 meV per atom. The calculation puts the energy of formation at -0.18 eV/atom.

It has space group P6_3/mmc (No. 194), with a = 4.8582 Å, b = 4.8582 Å, c = 7.8807 Å, α = 90.00°, β = 90.00° and γ = 120.00°. The distinct sites, in fractional coordinates, are Be at (0.0000, 0.5000, 0.0000), Be at (0.1747, 0.3494, 0.2500), Mo at (0.0000, 0.0000, 0.0000) and Mo at (0.3333, 0.6667, 0.7500).



Material: Ba3MgRu
Method: DFT, PBE-GGA
State: relaxed

The distance to the lowest polymorph of the same formula comes out at 0 meV per atom. The calculation puts the energy of formation at 0.22 eV/atom.

It has space group Pm-3m (No. 221), with a = 5.9646 Å, b = 5.9646 Å, c = 5.9646 Å, α = 90.00°, β = 90.00° and γ = 90.00°. The distinct sites, in fractional coordinates, are Ba at (0.0000, 0.0000, 0.5000), Mg at (0.5000, 0.5000, 0.5000) and Ru at (0.0000, 0.0000, 0.0000).



Material: Sc2IrRh2
Method: DFT, PBE-GGA
State: relaxed

The calculation puts the energy of formation at -0.66 eV/atom.

It has space group P4/mbm (No. 127), with a = 6.7561 Å, b = 6.7561 Å, c = 3.8077 Å, α = 90.00°, β = 90.00° and γ = 90.00°. The distinct sites, in fractional coordinates, are Sc at (0.1794, 0.3206, 0.0000), Ir at (0.0000, 0.0000, 0.5000) and Rh at (0.1311, 0.6311, 0.5000).



Material: RbGaN3
Method: DFT, PBE-GGA
State: relaxed

For the formation energy without anion corrections, the calculation gives 1.42 eV per atom.

It has space group Pm-3m (No. 221), with a = 4.1833 Å, b = 4.1833 Å, c = 4.1833 Å, α = 90.00°, β = 90.00° and γ = 90.00°. The distinct sites, in fractional coordinates, are Rb at (0.0000, 0.0000, 0.0000), Ga at (0.5000, 0.5000, 0.5000) and N at (0.0000, 0.5000, 0.5000).



Material: Tb2Ho3UN6
Method: DFT, PBE-GGA
State: relaxed

For the formation energy without anion corrections, the calculation gives -1.68 eV per atom.

It has space group C2/m (No. 12), with a = 5.9872 Å, b = 10.3666 Å, c = 5.9762 Å, α = 90.00°, β = 109.50° and γ = 90.00°. The distinct sites, in fractional coordinates, are Tb at (0.0000, 0.1664, 0.0000), Ho at (0.0000, 0.0000, 0.5000), Ho at (0.0000, 0.3325, 0.5000), U at (0.0000, 0.5000, 0.0000), N at (0.2328, 0.5000, 0.7592) and N at (0.2386, 0.3430, 0.2441).



Material: Sr2Pa3Se8
Method: DFT, PBE-GGA
State: relaxed

For the formation energy without anion corrections, the calculation gives -1.49 eV per atom.

It has space group P2/m (No. 10), with a = 8.3873 Å, b = 4.3929 Å, c = 11.5540 Å, α = 90.00°, β = 107.66° and γ = 90.00°. The distinct sites, in fractional coordinates, are Sr at (0.2367, 0.0000, 0.2750), Pa at (0.2373, 0.5000, 0.6762), Pa at (0.5000, 0.0000, 0.0000), Se at (0.1132, 0.5000, 0.4016), Se at (0.1719, 0.0000, 0.8348), Se at (0.3872, 0.0000, 0.6005) and Se at (0.4103, 0.5000, 0.1356).



Material: HfZrTaMo
Method: DFT, PBE-GGA
State: relaxed

The calculation puts the energy of formation at 0.08 eV/atom.

It has space group F-43m (No. 216), with a = 6.7443 Å, b = 6.7443 Å, c = 6.7443 Å, α = 90.00°, β = 90.00° and γ = 90.00°. The distinct sites, in fractional coordinates, are Hf at (0.0000, 0.0000, 0.0000), Zr at (0.2500, 0.2500, 0.2500), Ta at (0.0000, 0.0000, 0.5000) and Mo at (0.2500, 0.2500, 0.7500).



Material: TiIn2Rh3
Method: DFT, PBE-GGA
State: relaxed

The distance to the lowest polymorph of the same formula comes out at 4 meV per atom. The calculation puts the energy of formation at -0.59 eV/atom.

It has space group P4/mmm (No. 123), with a = 3.0990 Å, b = 3.0990 Å, c = 10.2185 Å, α = 90.00°, β = 90.00° and γ = 90.00°. The distinct sites, in fractional coordinates, are Ti at (0.0000, 0.0000, 0.0000), In at (0.0000, 0.0000, 0.3277), Rh at (0.5000, 0.5000, 0.1455) and Rh at (0.5000, 0.5000, 0.5000).